Density functional theory data (PBE-GGA) for crystalline MoRuBr3 at its relaxed geometry.

a b c (Å): 5.085 5.085 5.085
angles (deg): 90.00 90.00 90.00
Each line ends with the local moment (μB).
Atoms (fractional coordinates):
Mo: 0.500 0.500 0.500  3.96
Br: 0.000 0.500 0.000  -0.02
Br: 0.000 0.000 0.500  -0.02
Br: 0.500 0.000 0.000  -0.07
Ru: 0.000 0.000 0.000  -1.08

Values from the calculation:
- Calculated volume: 26.3 A^3/atom
- Space-group type: Pm-3m (221)
- Relative energy among the computed polymorphs: 0 meV per atom


Density functional theory data (PBE-GGA) for crystalline PrTiSb at its relaxed geometry.

a b c (Å): 4.314 4.314 8.204
angles (deg): 90.00 90.00 90.00
Atoms (fractional coordinates):
Pr: 0.000 0.500 0.849
Pr: 0.500 0.000 0.151
Sb: 0.500 0.000 0.734
Sb: 0.000 0.500 0.266
Ti: 0.000 0.000 0.500
Ti: 0.500 0.500 0.500

Values from the calculation:
- Calculated volume: 25.4 A^3/atom
- Space-group type: P4/nmm (129)
- Total DFT energy (no corrections): -6.31 eV/atom


Density functional theory data (PBE-GGA) for crystalline SrFeSb2I at its relaxed geometry.

a b c (Å): 4.934 4.934 5.993
angles (deg): 90.00 90.00 90.00
Each line ends with the local moment (μB).
Atoms (fractional coordinates):
Sb: 0.000 0.500 0.000  0.04
Sb: 0.500 0.000 0.000  0.04
Fe: 0.000 0.000 0.000  2.37
I: 0.000 0.000 0.500  0.07
Sr: 0.500 0.500 0.500  0.04

Values from the calculation:
- Calculated volume: 29.2 A^3/atom
- Space-group type: P4/mmm (123)
- Total DFT energy (no corrections): -4.19 eV/atom


Density functional theory data (PBE-GGA) for crystalline RbTlCl3 at its relaxed geometry.

a b c (Å): 4.918 4.918 8.168
angles (deg): 90.00 90.00 90.00
Atoms (fractional coordinates):
Cl: 0.500 0.000 0.394
Cl: 0.000 0.500 0.394
Cl: 0.000 0.000 0.759
Tl: 0.500 0.500 0.573
Rb: 0.000 0.000 0.143

Values from the calculation:
- Calculated volume: 39.5 A^3/atom
- Space-group type: P4mm (99)
- Total DFT energy (no corrections): -2.75 eV/atom


Density functional theory data (PBE-GGA) for crystalline TlInFe2I6 at its relaxed geometry.

a b c (Å): 11.324 11.324 8.449
angles (deg): 100.02 100.02 118.46
Each line ends with the local moment (μB).
Atoms (fractional coordinates):
In: 0.498 0.502 0.250  0.06
In: 0.502 0.498 0.750  0.06
I: 0.641 0.387 0.497  0.10
I: 0.176 0.200 0.504  0.12
I: 0.800 0.824 0.996  0.12
I: 0.009 0.636 0.833  0.12
I: 0.387 0.641 0.997  0.10
I: 0.824 0.800 0.496  0.12
I: 0.364 0.991 0.667  0.12
I: 0.991 0.364 0.167  0.12
I: 0.200 0.176 0.004  0.12
I: 0.613 0.359 0.003  0.10
I: 0.359 0.613 0.503  0.10
I: 0.636 0.009 0.333  0.12
Fe: 0.789 0.649 0.716  3.26
Fe: 0.211 0.351 0.284  3.26
Fe: 0.351 0.211 0.784  3.26
Fe: 0.649 0.789 0.216  3.26
Tl: 0.765 0.235 0.750  0.02
Tl: 0.235 0.765 0.250  0.02

Values from the calculation:
- Calculated volume: 44.8 A^3/atom
- Space-group type: C2/c (15)
- Total DFT energy (no corrections): -3.33 eV/atom


Density functional theory data (PBE-GGA) for crystalline Pm6DyY8 at its relaxed geometry.

a b c (Å): 9.789 9.789 8.235
angles (deg): 53.53 53.53 60.00
Atoms (fractional coordinates):
Dy: 0.000 0.000 0.000
Y: 0.230 0.924 0.490
Y: 0.415 0.415 0.754
Y: 0.585 0.585 0.246
Y: 0.356 0.230 0.490
Y: 0.770 0.076 0.510
Y: 0.644 0.770 0.510
Y: 0.076 0.644 0.510
Y: 0.924 0.356 0.490
Pm: 0.610 0.079 0.030
Pm: 0.921 0.719 0.970
Pm: 0.390 0.921 0.970
Pm: 0.079 0.281 0.030
Pm: 0.281 0.610 0.030
Pm: 0.719 0.390 0.970

Values from the calculation:
- Calculated volume: 33.1 A^3/atom
- Space-group type: R-3 (148)
- ΔE_f: 176 meV per atom
- Relative energy among the computed polymorphs: 56 meV per atom


Density functional theory data (PBE-GGA) for crystalline NaSm3Fe at its relaxed geometry.

a b c (Å): 5.372 5.372 5.372
angles (deg): 90.00 90.00 90.00
Atoms (fractional coordinates):
Fe: 0.000 0.000 0.000
Na: 0.500 0.500 0.500
Sm: 0.500 0.000 0.000
Sm: 0.000 0.000 0.500
Sm: 0.000 0.500 0.000

Values from the calculation:
- Calculated volume: 31.0 A^3/atom
- Space-group type: Pm-3m (221)
- ΔE_f: 184 meV per atom


Density functional theory data (PBE-GGA) for crystalline ScVCr2 at its relaxed geometry.

a b c (Å): 3.774 3.774 9.356
angles (deg): 78.36 78.36 90.00
Each line ends with the local moment (μB).
Atoms (fractional coordinates):
Cr: 0.702 0.125 0.250  -0.14
Cr: 0.875 0.952 0.750  -0.14
Cr: 0.375 0.298 0.750  -0.14
Cr: 0.048 0.625 0.250  -0.14
V: 0.000 0.000 0.000  0.44
V: 0.750 0.250 0.500  0.44
Sc: 0.500 0.500 0.000  0.04
Sc: 0.250 0.750 0.500  0.04

Values from the calculation:
- Calculated volume: 16.0 A^3/atom
- Space-group type: I-42d (122)
- ΔE_f: 870 meV per atom
- Relative energy among the computed polymorphs: 626 meV per atom


Density functional theory data (PBE-GGA) for crystalline Zn2InIr at its relaxed geometry.

a b c (Å): 4.963 4.963 4.716
angles (deg): 77.66 77.66 35.68
Atoms (fractional coordinates):
Zn: 0.516 0.516 0.464
Zn: 0.984 0.984 0.036
Ir: 0.250 0.250 0.250
In: 0.750 0.750 0.750

Values from the calculation:
- Calculated volume: 16.5 A^3/atom
- Space-group type: C2/m (12)
- ΔE_f: -47 meV per atom